(1)
Computed, not measured: crystalline La2TbCu at its relaxed geometry at the PBE level of DFT.

```
La2TbCu
1.0
7.1272 0.0000 0.0000
0.0000 10.2354 0.0000
0.0000 0.0000 6.5901
La Tb Cu
8 4 4
Direct
0.1970 0.0594 0.1749
0.1970 0.4406 0.1749
0.3030 0.5594 0.6749
0.3030 0.9406 0.6749
0.6970 0.0594 0.3251
0.6970 0.4406 0.3251
0.8030 0.5594 0.8251
0.8030 0.9406 0.8251
0.0299 0.2500 0.6491
0.4701 0.7500 0.1491
0.5299 0.2500 0.8509
0.9701 0.7500 0.3509
0.1032 0.7500 0.9421
0.3968 0.2500 0.4421
0.6032 0.7500 0.5579
0.8968 0.2500 0.0579
```

The density comes out at 6.91 g/cm3. The calculation puts the polymorph energy (0 for the lowest one) at 0.0000 eV/atom. Its energy of formation is -0.064 eV per atom. Its symmetry is Pnma, No. 62.


(2)
Computed, not measured: crystalline In2AgSb at its relaxed geometry at the PBE level of DFT.

```
In2AgSb
1.0
1.6866 0.9738 9.9721
-1.6866 0.9738 9.9721
0.0000 -1.9475 9.9721
In Ag Sb
2 1 1
Direct
0.2420 0.2420 0.2420
0.7580 0.7580 0.7580
0.5000 0.5000 0.5000
0.0000 0.0000 0.0000
```

The density comes out at 7.76 g/cm3. Its symmetry is R-3m, No. 166. As for the total energy: -3.019 eV per atom.


(3)
Computed, not measured: crystalline P2AuBr at its relaxed geometry at the PBE level of DFT.

```
P2AuBr
1.0
0.0000 3.3370 3.3370
3.3370 0.0000 3.3370
3.3370 3.3370 0.0000
P Au Br
2 1 1
Direct
0.0000 0.0000 0.0000
0.2500 0.2500 0.2500
0.7500 0.7500 0.7500
0.5000 0.5000 0.5000
```

The density comes out at 7.57 g/cm3. The calculation puts the polymorph energy (0 for the lowest one) at 0.7644 eV/atom. Its symmetry is F-43m, No. 216.


(4)
Computed, not measured: crystalline Ba2TlHg6Au at its relaxed geometry at the PBE level of DFT.

```
Ba2TlHg6Au
1.0
0.0000 5.6150 5.6150
5.6150 0.0000 5.6150
5.6150 5.6150 0.0000
Ba Tl Hg Au
2 1 6 1
Direct
0.2500 0.2500 0.2500
0.7500 0.7500 0.7500
0.0000 0.0000 0.0000
0.2568 0.2568 0.7432
0.2568 0.7432 0.2568
0.2568 0.7432 0.7432
0.7432 0.2568 0.2568
0.7432 0.2568 0.7432
0.7432 0.7432 0.2568
0.5000 0.5000 0.5000
```

The density comes out at 8.82 g/cm3. Its energy of formation is -0.150 eV per atom. Its symmetry is Fm-3m, No. 225.